## ZrRe2Ag2 (PBE)

Data for ZrRe2Ag2 after structural relaxation.

For the volume, the calculation gives 19.2 Å³/atom. The distance to the lowest polymorph of the same formula is 0 meV per atom.

a = 3.9183 Å, b = 3.9183 Å, c = 12.5254 Å
α = 90.00°, β = 90.00°, γ = 90.00°
Fractional coordinates of all 10 atoms:
1 Zr 0.0000 0.0000 0.0000
2 Zr 0.5000 0.5000 0.5000
3 Re 0.0000 0.0000 0.4109
4 Re 0.0000 0.0000 0.5891
5 Re 0.5000 0.5000 0.0891
6 Re 0.5000 0.5000 0.9109
7 Ag 0.0000 0.5000 0.2500
8 Ag 0.0000 0.5000 0.7500
9 Ag 0.5000 0.0000 0.2500
10 Ag 0.5000 0.0000 0.7500